1.
This record from Alexandria via LeMat-Bulk describes TbNd3Tm2 after structural relaxation. The functional is PBE.

```
TbNd3Tm2
1.0
7.505 -5.002 0.000
7.505 5.002 0.000
0.000 0.000 5.639
Tb Nd Tm
2 6 4
Direct
0.227 0.773 0.750
0.773 0.227 0.250
0.125 0.389 0.250
0.389 0.125 0.750
0.412 0.588 0.250
0.588 0.412 0.750
0.611 0.875 0.250
0.875 0.611 0.750
0.008 0.203 0.750
0.203 0.008 0.250
0.797 0.992 0.750
0.992 0.797 0.250
```

Computed properties:
Energy: -52.35 eV per cell
ΔH_f (0 K): 27.4 kJ per mole of atoms
Spin magnetization: 0.00 μB per formula unit
Energy above the lowest structure with this stoichiometry: 190 meV/atom
Space group: Cmcm, No. 63
Crystal system: orthorhombic

=====

2.
This record from Alexandria via LeMat-Bulk describes Tb12Nd6Tm after structural relaxation. The functional is PBE.

```
Tb12Nd6Tm
1.0
8.344 4.817 2.736
-8.344 4.817 2.736
0.000 -9.635 2.736
Tb Nd Tm
12 6 1
Direct
0.000 0.382 0.618
0.000 0.618 0.382
0.268 0.268 0.592
0.268 0.592 0.268
0.382 0.000 0.618
0.382 0.618 0.000
0.408 0.732 0.732
0.592 0.268 0.268
0.618 0.000 0.382
0.618 0.382 0.000
0.732 0.408 0.732
0.732 0.732 0.408
0.124 0.817 0.817
0.183 0.183 0.876
0.183 0.876 0.183
0.817 0.124 0.817
0.817 0.817 0.124
0.876 0.183 0.183
0.500 0.500 0.500
```

Computed properties:
Energy: -82.27 eV per cell
ΔH_f (0 K): 32.3 kJ per mole of atoms
Spin magnetization: 0.00 μB per formula unit
Energy above the lowest structure with this stoichiometry: 210 meV/atom
Space group: R-3m, No. 166
Crystal system: trigonal

=====

3.
This record from Alexandria via LeMat-Bulk describes Tb5Nd2Tm2 after structural relaxation. The functional is PBE.

```
Tb5Nd2Tm2
1.0
-7.448 5.900 3.368
7.448 -5.900 3.368
7.448 5.900 -3.368
Tb Nd Tm
10 4 4
Direct
0.248 0.052 0.300
0.248 0.448 0.695
0.441 0.032 0.122
0.441 0.819 0.909
0.447 0.452 0.495
0.752 0.552 0.305
0.752 0.948 0.700
0.911 0.319 0.878
0.911 0.532 0.091
0.957 0.952 0.505
0.351 0.225 0.873
0.351 0.978 0.627
0.352 0.478 0.127
0.352 0.725 0.373
0.812 0.312 0.500
0.812 0.812 0.000
0.887 0.148 0.239
0.908 0.648 0.761
```

Computed properties:
Energy: -79.36 eV per cell
ΔH_f (0 K): 20.9 kJ per mole of atoms
Spin magnetization: 0.00 μB per formula unit
Energy above the lowest structure with this stoichiometry: 200 meV/atom
Space group: Ima2, No. 46
Crystal system: orthorhombic

=====

4.
This record from Alexandria via LeMat-Bulk describes Tb2Nd3Tm3 after structural relaxation. The functional is PBE.

```
Tb2Nd3Tm3
1.0
8.120 -2.860 0.000
8.120 2.860 0.000
-2.104 0.000 5.656
Tb Nd Tm
2 3 3
Direct
0.250 0.250 0.181
0.750 0.750 0.819
0.365 0.365 0.801
0.500 0.500 0.500
0.635 0.635 0.199
0.000 0.000 0.000
0.132 0.132 0.581
0.868 0.868 0.419
```

Computed properties:
Energy: -36.25 eV per cell
ΔH_f (0 K): 8.8 kJ per mole of atoms
Spin magnetization: 0.00 μB per formula unit
Energy above the lowest structure with this stoichiometry: 70 meV/atom
Space group: C2/m, No. 12
Crystal system: monoclinic

=====

5.
This record from Alexandria via LeMat-Bulk describes Tb6Nd5Tm after structural relaxation. The functional is PBE.

```
Tb6Nd5Tm
1.0
3.124 -5.409 0.000
3.124 5.409 0.000
-2.077 0.000 11.742
Tb Nd Tm
6 5 1
Direct
0.082 0.415 0.249
0.250 0.250 0.751
0.415 0.082 0.249
0.585 0.918 0.751
0.750 0.750 0.249
0.918 0.585 0.751
0.167 0.833 0.500
0.333 0.667 0.000
0.500 0.500 0.500
0.667 0.333 0.000
0.833 0.167 0.500
0.000 0.000 0.000
```

Computed properties:
Energy: -55.93 eV per cell
ΔH_f (0 K): 1.3 kJ per mole of atoms
Spin magnetization: 0.00 μB per formula unit
Energy above the lowest structure with this stoichiometry: 0 meV/atom
Space group: C2/m, No. 12
Crystal system: monoclinic

=====

6.
This record from Alexandria via LeMat-Bulk describes TbNd6Tm4 after structural relaxation. The functional is PBE.

```
TbNd6Tm4
1.0
-3.362 3.362 8.389
3.362 -3.362 8.389
3.362 3.362 -8.389
Tb Nd Tm
1 6 4
Direct
0.000 0.000 0.000
0.000 0.500 0.500
0.013 0.632 0.000
0.368 0.368 0.381
0.500 0.000 0.500
0.632 0.013 0.000
0.987 0.987 0.619
0.202 0.202 0.645
0.443 0.798 0.000
0.557 0.557 0.355
0.798 0.443 0.000
```

Computed properties:
Energy: -47.77 eV per cell
ΔH_f (0 K): 29.4 kJ per mole of atoms
Spin magnetization: 0.00 μB per formula unit
Space group: I-42m, No. 121
Crystal system: tetragonal

=====

7.
This record from Alexandria via LeMat-Bulk describes Tb9Nd2Tm after structural relaxation. The functional is PBE.

```
Tb9Nd2Tm
1.0
11.303 0.000 0.000
-5.651 9.789 0.000
0.000 0.000 3.494
Tb Nd Tm
9 2 1
Direct
0.000 0.500 0.000
0.172 0.345 0.500
0.172 0.828 0.500
0.345 0.172 0.500
0.500 0.000 0.000
0.500 0.500 0.000
0.655 0.828 0.500
0.828 0.172 0.500
0.828 0.655 0.500
0.333 0.667 0.000
0.667 0.333 0.000
0.000 0.000 0.000
```

Computed properties:
Energy: -54.89 eV per cell
ΔH_f (0 K): 6.4 kJ per mole of atoms
Spin magnetization: 0.00 μB per formula unit
Energy above the lowest structure with this stoichiometry: 45 meV/atom
Space group: P6/mmm, No. 191
Crystal system: hexagonal

=====

8.
This record from Alexandria via LeMat-Bulk describes Tb3Nd7Tm after structural relaxation. The functional is PBE.

```
Tb3Nd7Tm
1.0
-2.964 5.687 5.706
2.964 -5.687 5.706
2.964 5.687 -5.706
Tb Nd Tm
3 7 1
Direct
0.000 0.000 0.000
0.205 0.500 0.705
0.795 0.500 0.295
0.018 0.808 0.210
0.210 0.710 0.500
0.403 0.192 0.210
0.500 0.500 0.000
0.597 0.808 0.790
0.790 0.290 0.500
0.982 0.192 0.790
0.500 0.000 0.500
```

Computed properties:
Energy: -49.20 eV per cell
ΔH_f (0 K): 22.2 kJ per mole of atoms
Spin magnetization: 0.00 μB per formula unit
Energy above the lowest structure with this stoichiometry: 45 meV/atom
Space group: Immm, No. 71
Crystal system: orthorhombic